The following is a DFT calculation (GGA-PBE) of a relaxed Lu2Sb3W4C3 crystal.

Lattice parameters (Å, degrees): 5.810 5.810 13.741 98.24 98.24 61.11
Element x y z (fractional)
C (0.000, 0.500, 0.000)
C (0.330, 0.849, 0.003)
C (0.151, 0.670, 0.497)
C (0.500, 0.000, 0.500)
C (0.849, 0.330, 0.503)
C (0.670, 0.151, 0.997)
Lu (0.369, 0.527, 0.103)
Lu (0.473, 0.631, 0.397)
Lu (0.527, 0.369, 0.603)
Lu (0.631, 0.473, 0.897)
Sb (0.812, 0.561, 0.240)
Sb (0.048, 0.952, 0.250)
Sb (0.439, 0.188, 0.260)
Sb (0.561, 0.812, 0.740)
Sb (0.952, 0.048, 0.750)
Sb (0.188, 0.439, 0.760)
W (0.692, 0.832, 0.069)
W (0.994, 0.195, 0.072)
W (0.805, 0.006, 0.428)
W (0.168, 0.308, 0.431)
W (0.832, 0.692, 0.569)
W (0.195, 0.994, 0.572)
W (0.006, 0.805, 0.928)
W (0.308, 0.168, 0.931)

Results
- Space group: C2/c
- Uncorrected energy: -8.515 eV/atom

=====

The following is a DFT calculation (GGA-PBE) of a relaxed Y2Lu4Sb3C3 crystal.

Lattice parameters (Å, degrees): 6.252 6.252 15.342 101.76 101.76 59.99
Element x y z (fractional)
C (0.500, 0.000, 0.000)
C (0.839, 0.331, 0.000)
C (0.161, 0.669, 0.000)
C (0.331, 0.839, 0.500)
C (0.000, 0.500, 0.500)
C (0.669, 0.161, 0.500)
Lu (0.196, 0.027, 0.084)
Lu (0.860, 0.695, 0.084)
Lu (0.305, 0.140, 0.416)
Lu (0.973, 0.804, 0.416)
Lu (0.027, 0.196, 0.584)
Lu (0.695, 0.860, 0.584)
Lu (0.140, 0.305, 0.916)
Lu (0.804, 0.973, 0.916)
Sb (0.228, 0.416, 0.250)
Sb (0.941, 0.059, 0.250)
Sb (0.584, 0.772, 0.250)
Sb (0.416, 0.228, 0.750)
Sb (0.059, 0.941, 0.750)
Sb (0.772, 0.584, 0.750)
Y (0.531, 0.365, 0.092)
Y (0.635, 0.469, 0.408)
Y (0.365, 0.531, 0.592)
Y (0.469, 0.635, 0.908)

Results
- Space group: C2/c
- Uncorrected energy: -6.611 eV/atom

=====

The following is a DFT calculation (GGA-PBE) of a relaxed Lu4ZnSbC2 crystal.

Lattice parameters (Å, degrees): 3.536 3.536 14.809 90.00 90.00 120.00
Last column: magnetic moment on the atom in μB.
Element x y z (fractional)
C (0.667, 0.333, 0.248)  0.01
C (0.667, 0.333, 0.752)  0.01
Lu (0.000, 0.000, 0.158)  0.19
Lu (0.333, 0.667, 0.333)  0.04
Lu (0.333, 0.667, 0.667)  0.04
Lu (0.000, 0.000, 0.842)  0.19
Sb (0.000, 0.000, 0.500)  -0.01
Zn (0.333, 0.667, 0.000)  0.09

Results
- Space group: P-6m2
- Uncorrected energy: -5.737 eV/atom

=====

The following is a DFT calculation (GGA-PBE) of a relaxed Lu2Zr4Sb3C3 crystal.

Lattice parameters (Å, degrees): 6.014 6.014 14.801 101.71 101.71 60.03
Element x y z (fractional)
C (0.500, 0.000, 0.000)
C (0.842, 0.329, 0.000)
C (0.158, 0.671, 0.000)
C (0.329, 0.842, 0.500)
C (0.000, 0.500, 0.500)
C (0.671, 0.158, 0.500)
Lu (0.531, 0.367, 0.091)
Lu (0.633, 0.469, 0.409)
Lu (0.367, 0.531, 0.591)
Lu (0.469, 0.633, 0.909)
Sb (0.233, 0.416, 0.249)
Sb (0.933, 0.067, 0.250)
Sb (0.584, 0.767, 0.251)
Sb (0.416, 0.233, 0.749)
Sb (0.067, 0.933, 0.750)
Sb (0.767, 0.584, 0.751)
Zr (0.198, 0.025, 0.084)
Zr (0.858, 0.695, 0.084)
Zr (0.305, 0.142, 0.416)
Zr (0.975, 0.802, 0.416)
Zr (0.025, 0.198, 0.584)
Zr (0.695, 0.858, 0.584)
Zr (0.142, 0.305, 0.916)
Zr (0.802, 0.975, 0.916)

Results
- Space group: C2/c
- Uncorrected energy: -7.692 eV/atom

=====

The following is a DFT calculation (GGA-PBE) of a relaxed Lu3ScC2Se2 crystal.

Lattice parameters (Å, degrees): 3.628 3.628 12.773 90.00 90.00 120.00
Element x y z (fractional)
C (0.333, 0.667, 0.502)
C (0.333, 0.667, 0.995)
Lu (0.667, 0.333, 0.094)
Lu (0.667, 0.333, 0.401)
Lu (0.000, 0.000, 0.602)
Sc (0.000, 0.000, 0.901)
Se (0.000, 0.000, 0.248)
Se (0.667, 0.333, 0.757)

Results
- Space group: P3m1
- Uncorrected energy: -6.850 eV/atom

=====

The following is a DFT calculation (GGA-PBE) of a relaxed Lu4Sc2Sn3C3 crystal.

Lattice parameters (Å, degrees): 6.036 6.036 15.591 101.16 101.16 60.00
Element x y z (fractional)
C (0.500, 0.000, 0.000)
C (0.827, 0.337, 0.000)
C (0.173, 0.663, 0.000)
C (0.337, 0.827, 0.500)
C (0.000, 0.500, 0.500)
C (0.663, 0.173, 0.500)
Lu (0.195, 0.029, 0.086)
Lu (0.862, 0.695, 0.086)
Lu (0.305, 0.138, 0.414)
Lu (0.971, 0.805, 0.414)
Lu (0.029, 0.195, 0.586)
Lu (0.695, 0.862, 0.586)
Lu (0.138, 0.305, 0.914)
Lu (0.805, 0.971, 0.914)
Sc (0.526, 0.359, 0.078)
Sc (0.641, 0.474, 0.422)
Sc (0.359, 0.526, 0.578)
Sc (0.474, 0.641, 0.922)
Sn (0.583, 0.728, 0.250)
Sn (0.893, 0.107, 0.250)
Sn (0.272, 0.417, 0.250)
Sn (0.728, 0.583, 0.750)
Sn (0.107, 0.893, 0.750)
Sn (0.417, 0.272, 0.750)

Results
- Space group: C2/c
- Uncorrected energy: -6.506 eV/atom

=====

The following is a DFT calculation (GGA-PBE) of a relaxed LuScSnC crystal.

Lattice parameters (Å, degrees): 3.454 3.454 15.180 90.00 90.00 120.00
Element x y z (fractional)
C (0.000, 0.000, 0.256)
C (0.000, 0.000, 0.744)
Lu (0.667, 0.333, 0.170)
Lu (0.667, 0.333, 0.830)
Sc (0.333, 0.667, 0.335)
Sc (0.333, 0.667, 0.665)
Sn (0.333, 0.667, 0.000)
Sn (0.667, 0.333, 0.500)

Results
- Distance to the lowest polymorph of the same formula: 1 meV/atom
- Space group: P-6m2

=====

The following is a DFT calculation (GGA-PBE) of a relaxed LuScSnC crystal.

Lattice parameters (Å, degrees): 3.453 3.453 15.185 90.00 90.00 120.00
Element x y z (fractional)
C (0.000, 0.000, 0.004)
C (0.000, 0.000, 0.504)
Lu (0.333, 0.667, 0.418)
Lu (0.667, 0.333, 0.918)
Sc (0.333, 0.667, 0.082)
Sc (0.667, 0.333, 0.582)
Sn (0.667, 0.333, 0.246)
Sn (0.333, 0.667, 0.746)

Results
- Distance to the lowest polymorph of the same formula: 0 meV/atom
- Space group: P6_3mc

=====

Copy entry 2 word for word.
The following is a DFT calculation (GGA-PBE) of a relaxed Y2Lu4Sb3C3 crystal.

Lattice parameters (Å, degrees): 6.252 6.252 15.342 101.76 101.76 59.99
Element x y z (fractional)
C (0.500, 0.000, 0.000)
C (0.839, 0.331, 0.000)
C (0.161, 0.669, 0.000)
C (0.331, 0.839, 0.500)
C (0.000, 0.500, 0.500)
C (0.669, 0.161, 0.500)
Lu (0.196, 0.027, 0.084)
Lu (0.860, 0.695, 0.084)
Lu (0.305, 0.140, 0.416)
Lu (0.973, 0.804, 0.416)
Lu (0.027, 0.196, 0.584)
Lu (0.695, 0.860, 0.584)
Lu (0.140, 0.305, 0.916)
Lu (0.804, 0.973, 0.916)
Sb (0.228, 0.416, 0.250)
Sb (0.941, 0.059, 0.250)
Sb (0.584, 0.772, 0.250)
Sb (0.416, 0.228, 0.750)
Sb (0.059, 0.941, 0.750)
Sb (0.772, 0.584, 0.750)
Y (0.531, 0.365, 0.092)
Y (0.635, 0.469, 0.408)
Y (0.365, 0.531, 0.592)
Y (0.469, 0.635, 0.908)

Results
- Space group: C2/c
- Uncorrected energy: -6.611 eV/atom